Material: IrAuF2
Method: DFT, PBE-GGA
State: optimized geometry

Summary:
The energy above the lowest structure with this stoichiometry comes out at 2.977 eV/f.u. As for the total energy: -3.910 eV/atom. The calculation puts the uncorrected formation energy at 0.060 eV per atom.

abc: 7.282 7.282 5.225
angles: 90.00 90.00 90.00
Space group I-42d (No. 122)
Asymmetric unit:
Ir 0.000 0.000 0.000
Au 0.000 0.000 0.500
F 0.124 0.250 0.125